{
  "formula": "NaYSe2Br",
  "functional": "PBE",
  "state": "optimized geometry",
  "formation_energy_uncorrected_ev_per_atom": -0.49,
  "space_group": "P4/mmm (123)",
  "density_g_cm3": 4.38,
  "n_ef_per_ev_cell": 3.9,
  "crystal_system": "tetragonal",
  "magmom_total_mub_per_atom": 0.0726,
  "vol_a3_per_cell": 132.7,
  "total_energy_ev_per_atom": -3.77,
  "lattice": [[5.124, 0.000, 0.000], [0.000, 5.124, 0.000], [0.000, 0.000, 5.055]],
  "species": ["Y", "Na", "Se", "Se", "Br"],
  "frac_coords": [[0.500, 0.500, 0.500], [0.000, 0.000, 0.000], [0.000, 0.500, 0.000], [0.500, 0.000, 0.000], [0.000, 0.000, 0.500]]
}

{
  "formula": "CoRhSe2",
  "functional": "PBE",
  "state": "optimized geometry",
  "formation_energy_uncorrected_ev_per_atom": 0.06,
  "space_group": "P2/m (10)",
  "density_g_cm3": 8.00,
  "n_ef_per_ev_cell": 6.4,
  "crystal_system": "monoclinic",
  "magmom_total_mub_per_atom": 0.3358,
  "vol_a3_per_cell": 66.4,
  "total_energy_ev_per_atom": -5.30,
  "lattice": [[3.649, 0.000, 0.000], [0.000, 6.185, 0.021], [0.000, 4.148, 2.956]],
  "species": ["Co", "Rh", "Se", "Se"],
  "frac_coords": [[0.500, 0.500, 0.500], [0.000, 0.000, 0.500], [0.000, 0.000, 0.000], [0.500, 0.500, 0.000]]
}

{
  "formula": "CoIr2RuRh2",
  "functional": "PBE",
  "state": "optimized geometry",
  "space_group": "P2_1/m (11)",
  "density_g_cm3": 14.53,
  "n_ef_per_ev_cell": 16.3,
  "crystal_system": "monoclinic",
  "magmom_total_mub_per_atom": 0.2817,
  "vol_a3_per_cell": 171.5,
  "total_energy_ev_per_atom": -7.86,
  "formation_energy_kj_per_mol_atoms": 26.7,
  "lattice": [[-0.823, 2.090, -4.799], [2.111, -4.046, -2.124], [-6.120, -2.154, 0.111]],
  "species": ["Co", "Co", "Ir", "Ir", "Ir", "Ir", "Ru", "Ru", "Rh", "Rh", "Rh", "Rh"],
  "frac_coords": [[0.750, 0.297, 0.854], [0.250, 0.703, 0.146], [0.250, 0.001, 0.494], [0.250, 0.503, 0.494], [0.750, 0.999, 0.506], [0.750, 0.497, 0.506], [0.250, 0.304, 0.851], [0.750, 0.696, 0.149], [0.501, 0.198, 0.182], [0.999, 0.198, 0.182], [0.001, 0.802, 0.818], [0.499, 0.802, 0.818]]
}

{
  "formula": "Cs2HgPPd",
  "functional": "PBE",
  "state": "optimized geometry",
  "space_group": "P4/mmm (123)",
  "density_g_cm3": 4.60,
  "n_ef_per_ev_cell": 2.4,
  "crystal_system": "tetragonal",
  "magmom_total_mub_per_atom": 0.0000,
  "vol_a3_per_cell": 217.9,
  "total_energy_ev_per_atom": -2.77,
  "formation_energy_kj_per_mol_atoms": -24.2,
  "lattice": [[-5.626, 2.061, 3.612], [-3.471, -5.673, -2.170], [1.457, -2.252, 3.555]],
  "species": ["Cs", "Cs", "P", "Hg", "Pd"],
  "frac_coords": [[0.000, 0.500, 0.000], [0.500, 0.000, 0.000], [0.000, 0.000, 0.000], [0.500, 0.500, 0.500], [0.000, 0.000, 0.500]]
}

{
  "formula": "UGa2S6",
  "functional": "PBE",
  "state": "optimized geometry",
  "formation_energy_uncorrected_ev_per_atom": -0.70,
  "space_group": "C2/c (15)",
  "density_g_cm3": 4.19,
  "n_ef_per_ev_cell": 3.1,
  "crystal_system": "monoclinic",
  "magmom_total_mub_per_atom": 0.0112,
  "vol_a3_per_cell": 451.3,
  "total_energy_ev_per_atom": -5.37,
  "lattice": [[6.646, -0.397, -0.384], [1.438, 8.171, 0.204], [1.438, 0.469, 8.160]],
  "species": ["U", "U", "Ga", "Ga", "Ga", "Ga", "S", "S", "S", "S", "S", "S", "S", "S", "S", "S", "S", "S"],
  "frac_coords": [[0.250, 0.105, 0.895], [0.750, 0.895, 0.105], [0.159, 0.614, 0.743], [0.341, 0.257, 0.386], [0.841, 0.386, 0.257], [0.659, 0.743, 0.614], [0.357, 0.718, 0.531], [0.143, 0.469, 0.282], [0.643, 0.282, 0.469], [0.857, 0.531, 0.718], [0.833, 0.880, 0.388], [0.667, 0.612, 0.120], [0.167, 0.120, 0.612], [0.333, 0.388, 0.880], [0.109, 0.816, 0.948], [0.391, 0.052, 0.184], [0.891, 0.184, 0.052], [0.609, 0.948, 0.816]]
}

{
  "formula": "Mg2MnSi",
  "functional": "PBE",
  "state": "optimized geometry",
  "formation_energy_uncorrected_ev_per_atom": 0.05,
  "space_group": "P4/mmm (123)",
  "density_g_cm3": 3.30,
  "n_ef_per_ev_cell": 2.4,
  "crystal_system": "tetragonal",
  "magmom_total_mub_per_atom": 0.8593,
  "vol_a3_per_cell": 66.3,
  "total_energy_ev_per_atom": -4.40,
  "lattice": [[4.024, 0.000, 0.000], [0.000, 4.024, 0.000], [0.000, 0.000, 4.091]],
  "species": ["Mg", "Mg", "Mn", "Si"],
  "frac_coords": [[0.000, 0.000, 0.000], [0.500, 0.500, 0.000], [0.500, 0.000, 0.500], [0.000, 0.500, 0.500]]
}

{
  "formula": "Dy2RuO6",
  "functional": "PBE",
  "state": "optimized geometry",
  "formation_energy_uncorrected_ev_per_atom": -2.30,
  "space_group": "P2_1/c (14)",
  "density_g_cm3": 7.26,
  "n_ef_per_ev_cell": 8.1,
  "crystal_system": "monoclinic",
  "magmom_total_mub_per_atom": 0.2229,
  "vol_a3_per_cell": 238.7,
  "total_energy_ev_per_atom": -7.66,
  "lattice": [[5.369, 0.000, -0.572], [0.000, 5.818, 0.000], [-0.142, 0.000, 7.655]],
  "species": ["Dy", "Dy", "Dy", "Dy", "Ru", "Ru", "O", "O", "O", "O", "O", "O", "O", "O", "O", "O", "O", "O"],
  "frac_coords": [[0.956, 0.407, 0.764], [0.544, 0.907, 0.736], [0.456, 0.093, 0.264], [0.044, 0.593, 0.236], [0.500, 0.500, 0.000], [0.000, 0.000, 0.500], [0.838, 0.931, 0.269], [0.856, 0.725, 0.588], [0.798, 0.670, 0.945], [0.702, 0.170, 0.555], [0.644, 0.225, 0.912], [0.662, 0.431, 0.231], [0.162, 0.069, 0.731], [0.144, 0.275, 0.412], [0.202, 0.330, 0.055], [0.298, 0.830, 0.445], [0.356, 0.775, 0.088], [0.338, 0.569, 0.769]]
}

{
  "formula": "CaSi2Pt",
  "functional": "PBE",
  "state": "optimized geometry",
  "formation_energy_uncorrected_ev_per_atom": -0.36,
  "space_group": "Cmmm (65)",
  "density_g_cm3": 6.35,
  "n_ef_per_ev_cell": 1.6,
  "crystal_system": "orthorhombic",
  "magmom_total_mub_per_atom": 0.0000,
  "vol_a3_per_cell": 76.2,
  "total_energy_ev_per_atom": -5.08,
  "lattice": [[3.436, -0.039, 0.000], [-0.578, 3.387, 0.000], [0.000, 0.000, 6.560]],
  "species": ["Ca", "Pt", "Si", "Si"],
  "frac_coords": [[0.500, 0.500, 0.250], [0.500, 0.500, 0.750], [0.000, 0.000, 0.934], [0.000, 0.000, 0.566]]
}